# ZrInRe2 (GGA-PBEsol, relaxed)
# Energy relative to the elements   0.126 eV per atom
data_ZrInRe2
_symmetry_space_group_name_H-M 'P m m 2'
_symmetry_Int_Tables_number 25
_cell_length_a 2.972
_cell_length_b 4.009
_cell_length_c 5.808
_cell_angle_alpha 90.00
_cell_angle_beta 90.00
_cell_angle_gamma 90.00
loop_
_symmetry_equiv_pos_as_xyz
'x,y,z'
'-x,-y,z'
'-x,y,z'
'x,-y,z'
loop_
_atom_site_label
_atom_site_fract_x
_atom_site_fract_y
_atom_site_fract_z
Zr1 0.000 0.000 0.000
In1 0.500 0.500 0.279
Re1 0.000 0.000 0.550
Re2 0.500 0.500 0.752

---

# ZrIn2Re (GGA-PBEsol, relaxed)
# Energy relative to the elements   0.180 eV per atom
data_ZrIn2Re
_symmetry_space_group_name_H-M 'F m -3 m'
_symmetry_Int_Tables_number 225
_symmetry_space_group_name_Hall '-F 4 2 3'
_cell_length_a 6.663
_cell_length_b 6.663
_cell_length_c 6.663
_cell_angle_alpha 90.00
_cell_angle_beta 90.00
_cell_angle_gamma 90.00
loop_
_atom_site_label
_atom_site_fract_x
_atom_site_fract_y
_atom_site_fract_z
Zr1 0.000 0.000 0.000
In1 0.250 0.250 0.250
Re1 0.000 0.000 0.500

---

# ZrIn2Re (GGA-PBEsol, relaxed)
# Energy relative to the elements   0.117 eV per atom
data_ZrIn2Re
_symmetry_space_group_name_H-M 'C 1 2/m 1'
_symmetry_Int_Tables_number 12
_cell_length_a 9.814
_cell_length_b 3.427
_cell_length_c 4.771
_cell_angle_alpha 90.00
_cell_angle_beta 107.15
_cell_angle_gamma 90.00
loop_
_symmetry_equiv_pos_as_xyz
'x,y,z'
'-x,-y,-z'
'-x,y,-z'
'x,-y,z'
'x+1/2,y+1/2,z'
'-x+1/2,-y+1/2,-z'
'-x+1/2,y+1/2,-z'
'x+1/2,-y+1/2,z'
loop_
_atom_site_label
_atom_site_fract_x
_atom_site_fract_y
_atom_site_fract_z
Zr1 0.000 0.000 0.000
In1 0.238 0.000 0.731
Re1 0.000 0.500 0.500

---

# Zr2InRe (GGA-PBEsol, relaxed)
# Energy relative to the elements   -0.019 eV per atom
data_Zr2InRe
_symmetry_space_group_name_H-M 'F -4 3 m'
_symmetry_Int_Tables_number 216
_symmetry_space_group_name_Hall 'F -4 2 3'
_cell_length_a 6.681
_cell_length_b 6.681
_cell_length_c 6.681
_cell_angle_alpha 90.00
_cell_angle_beta 90.00
_cell_angle_gamma 90.00
loop_
_atom_site_label
_atom_site_fract_x
_atom_site_fract_y
_atom_site_fract_z
Zr1 0.000 0.000 0.000
Zr2 0.250 0.250 0.250
In1 0.250 0.250 0.750
Re1 0.000 0.000 0.500

---

# ZrIn2Re (GGA-PBEsol, relaxed)
# Energy relative to the elements   0.202 eV per atom
data_ZrIn2Re
_symmetry_space_group_name_H-M 'C m m 2'
_symmetry_Int_Tables_number 35
_cell_length_a 3.376
_cell_length_b 5.037
_cell_length_c 9.490
_cell_angle_alpha 90.00
_cell_angle_beta 90.00
_cell_angle_gamma 90.00
loop_
_symmetry_equiv_pos_as_xyz
'x,y,z'
'-x,-y,z'
'-x,y,z'
'x,-y,z'
'x+1/2,y+1/2,z'
'-x+1/2,-y+1/2,z'
'-x+1/2,y+1/2,z'
'x+1/2,-y+1/2,z'
loop_
_atom_site_label
_atom_site_fract_x
_atom_site_fract_y
_atom_site_fract_z
Zr1 0.000 0.000 0.000
In1 0.000 0.000 0.448
In2 0.000 0.500 0.731
Re1 0.000 0.500 0.212

---

# InRh2 (GGA-PBEsol, relaxed)
# Energy relative to the elements   -0.093 eV per atom
data_InRh2
_symmetry_space_group_name_H-M 'I m m m'
_symmetry_Int_Tables_number 71
_symmetry_space_group_name_Hall '-I 2 2'
_cell_length_a 2.860
_cell_length_b 3.815
_cell_length_c 8.446
_cell_angle_alpha 90.00
_cell_angle_beta 90.00
_cell_angle_gamma 90.00
loop_
_atom_site_label
_atom_site_fract_x
_atom_site_fract_y
_atom_site_fract_z
In1 0.000 0.000 0.000
Rh1 0.000 0.000 0.331

---

| no. | total magnetic moment (Bohr magnetons per cell) |
| --- | --- |
| 1 | 0.00 |
| 2 | 0.00 |
| 3 | 0.00 |
| 4 | 0.00 |
| 5 | 0.00 |
| 6 | 0.08 |